Record 1
# Na2TlSeS

An optimized crystal structure of Na2TlSeS (GGA-PBE, Alexandria).

DOS at the Fermi energy in states/eV/f.u.: 1.498
E_form (uncorrected) in meV/atom: -612

```
5
Lattice="-3.826 2.553 -0.174 -1.800 -2.908 -3.081 -2.614 -3.583 4.908" Properties=species:S:1:pos:R:3 pbc="T T T"
Na -3.264 -4.694 2.897
Na -4.277 -1.963 4.351
Tl -3.074 -4.654 -0.689
Se -4.387 -2.335 1.327
S -2.067 -3.274 -2.580
```

=====

Record 2
# TbSi2PtRh2

An optimized crystal structure of TbSi2PtRh2 (GGA-PBE, Alexandria).

DOS at the Fermi energy in states/eV/f.u.: 3.142
E_form (uncorrected) in meV/atom: -380

```
6
Lattice="4.510 0.000 0.000 0.000 4.510 0.000 0.000 0.000 5.542" Properties=species:S:1:pos:R:3 pbc="T T T"
Tb 0.000 0.000 2.771
Si 2.255 0.000 0.000
Si 0.000 2.255 0.000
Pt 0.000 0.000 0.000
Rh 2.255 2.255 4.149
Rh 2.255 2.255 1.394
```

=====

Record 3
# CsSc3Zn

An optimized crystal structure of CsSc3Zn (GGA-PBE, Alexandria).

Distance to the lowest polymorph of the same formula in eV per atom: 0.974
DOS at the Fermi energy in states/eV/f.u.: 6.472

```
5
Lattice="-3.783 -3.137 1.841 1.772 -3.909 -3.020 3.176 -1.556 3.877" Properties=species:S:1:pos:R:3 pbc="T T T"
Cs 0.000 0.000 0.000
Sc 0.886 -1.954 -1.510
Sc 1.588 -0.778 1.938
Sc -1.892 -1.568 0.920
Zn 0.582 -4.301 1.349
```

=====

Record 4
# GdErZrIn

An optimized crystal structure of GdErZrIn (GGA-PBE, Alexandria).

DOS at the Fermi energy in states/eV/f.u.: 3.903
Calculated total energy in eV/atom: -7.54

```
4
Lattice="5.335 0.000 0.000 2.668 4.621 0.000 2.668 1.540 4.356" Properties=species:S:1:pos:R:3 pbc="T T T"
Gd 8.003 4.621 3.267
In 0.000 0.000 0.000
Zr 5.335 3.080 2.178
Er 2.668 1.540 1.089
```

=====

Record 5
# PaGe2O6F2

An optimized crystal structure of PaGe2O6F2 (GGA-PBE, Alexandria).

DOS at the Fermi energy in states/eV/f.u.: 7.450
E_form (uncorrected) in meV/atom: -2232

```
11
Lattice="-2.496 0.446 5.456 5.546 -2.254 -0.595 2.284 5.461 0.598" Properties=species:S:1:pos:R:3 pbc="T T T"
Pa 0.000 0.000 0.000
Ge 4.490 2.532 1.847
Ge 0.843 1.122 3.611
O 3.315 3.665 1.217
O 5.981 2.582 0.931
O 4.781 2.796 3.553
O 2.019 -0.012 4.242
O -0.647 1.071 4.528
O 0.553 0.857 1.906
F 3.819 0.927 1.672
F 1.514 2.726 3.787
```

=====

Record 6
# B2MoAu

An optimized crystal structure of B2MoAu (GGA-PBE, Alexandria).

Distance to the lowest polymorph of the same formula in eV per atom: 0.069
DOS at the Fermi energy in states/eV/f.u.: 1.652

```
4
Lattice="2.192 0.692 3.273 0.231 3.697 1.508 -1.800 0.862 3.466" Properties=species:S:1:pos:R:3 pbc="T T T"
Mo 0.000 0.000 0.000
B 0.156 1.313 2.062
B 0.468 3.939 6.185
Au 0.312 2.626 4.124
```

=====

Record 7
# RbTe2PtI

An optimized crystal structure of RbTe2PtI (GGA-PBE, Alexandria).

Distance to the lowest polymorph of the same formula in eV per atom: 0.000
DOS at the Fermi energy in states/eV/f.u.: 8.025
E_form (uncorrected) in meV/atom: -288

```
5
Lattice="5.413 0.000 0.000 0.000 5.413 0.000 0.000 0.000 5.860" Properties=species:S:1:pos:R:3 pbc="T T T"
I 0.000 0.000 2.930
Te 0.000 2.707 0.000
Te 2.707 0.000 0.000
Rb 2.707 2.707 2.930
Pt 0.000 0.000 0.000
```

=====

Record 8
# Mo2PtSe

An optimized crystal structure of Mo2PtSe (GGA-PBE, Alexandria).

DOS at the Fermi energy in states/eV/f.u.: 2.596
E_form (uncorrected) in meV/atom: 652

```
8
Lattice="-2.206 0.274 -5.304 -4.160 -3.661 1.541 -6.356 2.560 -0.342" Properties=species:S:1:pos:R:3 pbc="T T T"
Mo -3.496 0.355 -3.227
Mo -4.457 -1.615 0.234
Mo -7.139 0.663 -1.674
Mo -10.352 -1.057 -3.544
Se -3.183 -1.693 -1.882
Se -6.849 -1.397 -0.342
Pt 0.000 0.000 0.000
Pt -5.873 0.570 -3.764
```

=====

Record 9
# BaTa2N4

An optimized crystal structure of BaTa2N4 (GGA-PBE, Alexandria).

Distance to the lowest polymorph of the same formula in eV per atom: 0.000
DOS at the Fermi energy in states/eV/f.u.: 0.000
E_form (uncorrected) in meV/atom: -1085

```
84
Lattice="-5.688 9.384 -2.749 1.469 -2.324 -10.973 -9.667 -5.875 -0.050" Properties=species:S:1:pos:R:3 pbc="T T T"
Ba -2.109 3.530 -6.861
Ba -7.678 1.755 -1.400
Ba -4.099 -4.099 -5.512
Ba 0.000 0.000 0.000
Ba -3.061 -3.139 -9.999
Ba -5.611 6.660 -6.585
Ba -10.480 -1.887 -2.412
Ba -8.619 0.735 -8.549
Ba -10.825 4.323 -3.774
Ba -8.274 -5.475 -7.187
Ba -3.406 3.072 -11.361
Ba -5.266 0.449 -5.223
Ta -4.561 -0.017 -8.846
Ta -4.619 4.341 -3.946
Ta -8.391 -4.651 -3.562
Ta -10.200 2.696 -11.192
Ta -8.238 -1.787 -5.291
Ta -1.962 -1.208 -7.102
Ta -7.506 5.988 -3.538
Ta -10.065 -0.623 -11.613
Ta -7.291 3.518 -5.789
Ta -6.834 -1.988 -2.257
Ta -1.471 0.145 -10.126
Ta -12.176 0.695 -9.372
Ta -9.325 1.201 -4.927
Ta -9.267 -3.156 -9.827
Ta -5.495 5.836 -10.211
Ta -3.685 -1.511 -2.581
Ta -5.648 2.972 -8.481
Ta -11.924 2.393 -6.670
Ta -6.379 -4.804 -10.234
Ta -3.820 1.808 -2.159
Ta -6.594 -2.333 -7.983
Ta -7.052 3.173 -11.515
Ta -12.415 1.040 -3.646
Ta -1.710 0.490 -4.400
N -3.372 -0.156 -10.429
N -5.361 3.774 -5.697
N -7.978 -3.539 -1.971
N -11.059 2.290 -9.449
N -9.278 -3.389 -4.753
N -3.859 -1.391 -7.656
N -5.524 6.036 -3.621
N -9.110 1.113 -11.515
N -7.996 5.306 -5.297
N -7.857 -0.926 -3.585
N -1.009 -1.259 -8.801
N -10.909 -0.752 -9.862
N -10.513 1.340 -3.344
N -8.524 -2.589 -8.076
N -5.907 4.724 -11.802
N -2.826 -1.106 -4.323
N -4.608 4.574 -9.020
N -10.027 2.576 -6.117
N -8.361 -4.851 -10.151
N -4.775 0.071 -2.257
N -5.889 -4.122 -8.476
N -6.029 2.111 -10.187
N -12.877 2.443 -4.971
N -2.976 1.937 -3.911
N -6.306 -0.796 -9.180
N -12.474 -0.860 -4.162
N -0.221 0.032 -3.194
N -8.770 3.993 -11.009
N -9.372 -0.412 -6.056
N -6.957 6.532 -9.089
N -2.593 -1.624 -0.946
N -8.850 -2.128 -11.454
N -7.441 3.180 -7.694
N -5.473 -3.547 -11.451
N -2.297 2.028 -0.930
N -12.560 0.709 -7.471
N -7.580 1.980 -4.592
N -1.411 2.045 -9.611
N -13.664 1.153 -10.578
N -5.116 -2.809 -2.763
N -4.514 1.596 -7.716
N -6.929 -5.347 -4.684
N -11.293 2.808 -12.827
N -5.035 3.312 -2.318
N -6.444 -1.995 -6.079
N -8.412 4.732 -2.321
N -11.589 -0.843 -12.843
N -1.326 0.476 -6.302
```

=====

Record 10
# Pm3Si9Rh2

An optimized crystal structure of Pm3Si9Rh2 (GGA-PBE, Alexandria).

DOS at the Fermi energy in states/eV/f.u.: 4.271
E_form (uncorrected) in meV/atom: -531

```
14
Lattice="-3.165 1.075 2.461 -5.621 -5.469 -1.342 0.730 -4.602 6.449" Properties=species:S:1:pos:R:3 pbc="T T T"
Pm 0.000 0.000 0.000
Pm -3.717 -2.489 3.307
Pm -4.339 -6.506 4.261
Si -2.446 -5.035 2.554
Si -6.995 -7.757 4.892
Si -1.062 -1.239 2.676
Si -5.369 -7.535 6.887
Si -2.688 -1.461 0.681
Si -7.264 -5.592 3.601
Si -0.792 -3.403 3.968
Si -4.403 -5.202 7.111
Si -3.654 -3.794 0.458
Rh -2.527 -4.293 5.626
Rh -5.529 -4.703 1.943
```

=====

Record 11
# LuMgSn2

An optimized crystal structure of LuMgSn2 (GGA-PBE, Alexandria).

DOS at the Fermi energy in states/eV/f.u.: 1.508
Calculated total energy in eV/atom: -3.94

```
4
Lattice="-3.147 2.584 1.486 -3.236 -3.086 -1.488 0.171 -2.190 4.169" Properties=species:S:1:pos:R:3 pbc="T T T"
Mg -1.574 1.292 0.743
Lu -3.106 -1.346 2.084
Sn 0.086 -1.095 2.085
Sn -1.618 -1.543 -0.744
```

=====

Record 12
# DyThCo2P2

An optimized crystal structure of DyThCo2P2 (GGA-PBE, Alexandria).

DOS at the Fermi energy in states/eV/f.u.: 6.370
Calculated total energy in eV/atom: -7.29

```
6
Lattice="3.899 0.000 0.000 -1.949 3.376 0.000 0.000 0.000 7.935" Properties=species:S:1:pos:R:3 pbc="T T T"
Dy 0.000 0.000 3.967
Th 0.000 0.000 0.000
Co 1.949 1.125 1.891
Co 0.000 2.251 6.044
P 1.949 1.125 5.815
P 0.000 2.251 2.120
```

=====

Record 13
# Zr3Sc2

An optimized crystal structure of Zr3Sc2 (GGA-PBE, Alexandria).

Distance to the lowest polymorph of the same formula in eV per atom: 0.494
DOS at the Fermi energy in states/eV/f.u.: 9.201

```
5
Lattice="-0.697 0.071 -4.911 -3.107 -2.547 2.909 -3.459 4.860 0.561" Properties=species:S:1:pos:R:3 pbc="T T T"
Zr 0.000 0.000 0.000
Zr -3.714 2.310 -1.945
Zr -3.548 0.074 0.504
Sc -1.947 -0.174 -2.232
Sc -5.316 2.558 0.791
```

=====

Record 14
# Dy3TeBr7

An optimized crystal structure of Dy3TeBr7 (GGA-PBE, Alexandria).

DOS at the Fermi energy in states/eV/f.u.: 0.000
E_form (uncorrected) in meV/atom: -1786

```
11
Lattice="7.424 0.000 3.946 3.716 7.288 1.967 0.374 0.008 8.254" Properties=species:S:1:pos:R:3 pbc="T T T"
Dy 1.676 1.910 5.804
Dy 7.301 5.461 8.777
Dy 3.489 5.461 6.751
Te 8.242 4.280 11.365
Br 6.171 6.714 6.304
Br 4.710 4.407 9.054
Br 9.860 6.570 8.322
Br 2.756 0.571 8.031
Br 6.650 0.571 10.101
Br 4.181 3.125 5.317
Br 8.103 3.125 7.402
```

=====

Record 15
# MnOsPb2

An optimized crystal structure of MnOsPb2 (GGA-PBE, Alexandria).

Distance to the lowest polymorph of the same formula in eV per atom: 0.663
DOS at the Fermi energy in states/eV/f.u.: 4.072

```
8
Lattice="7.799 0.000 0.000 0.000 7.799 0.000 3.900 3.900 2.994" Properties=species:S:1:pos:R:3 pbc="T T T"
Pb 6.019 1.950 0.749
Pb 1.781 5.849 0.749
Pb 5.849 5.680 2.246
Pb 9.749 9.918 2.246
Mn 3.900 3.900 0.000
Mn 3.900 7.799 1.497
Os 0.000 0.000 0.000
Os 7.799 3.900 1.497
```

=====

Record 16
# CeSn4Ir2

An optimized crystal structure of CeSn4Ir2 (GGA-PBE, Alexandria).

DOS at the Fermi energy in states/eV/f.u.: 6.639
Calculated total energy in eV/atom: -6.18

```
28
Lattice="4.522 0.000 0.000 0.000 7.290 0.000 0.000 0.000 18.516" Properties=species:S:1:pos:R:3 pbc="T T T"
Ce 3.392 7.250 11.892
Ce 1.131 0.041 6.624
Ce 1.131 3.604 15.881
Ce 3.392 3.686 2.634
Sn 1.131 1.992 12.836
Sn 3.392 5.298 5.679
Sn 3.392 5.637 14.937
Sn 1.131 1.653 3.579
Sn 1.131 5.064 12.638
Sn 3.392 2.226 5.877
Sn 3.392 1.419 15.135
Sn 1.131 5.872 3.380
Sn 1.131 0.967 9.866
Sn 3.392 6.324 8.649
Sn 3.392 4.612 17.907
Sn 1.131 2.679 0.609
Sn 1.131 3.492 8.011
Sn 3.392 3.799 10.505
Sn 3.392 7.137 1.247
Sn 1.131 0.153 17.269
Ir 1.131 5.468 9.907
Ir 3.392 1.823 8.609
Ir 3.392 1.822 17.867
Ir 1.131 5.468 0.649
Ir 1.131 7.137 14.545
Ir 3.392 0.153 3.970
Ir 3.392 3.492 13.228
Ir 1.131 3.798 5.287
```

=====

Record 17
# ZrTiCd2Sb

An optimized crystal structure of ZrTiCd2Sb (GGA-PBE, Alexandria).

DOS at the Fermi energy in states/eV/f.u.: 4.697
E_form (uncorrected) in meV/atom: 940

```
5
Lattice="5.283 0.000 0.000 0.000 5.101 0.000 0.000 0.000 5.283" Properties=species:S:1:pos:R:3 pbc="T T T"
Sb 0.000 0.000 0.000
Ti 0.000 2.551 0.000
Zr 2.642 2.551 2.642
Cd 0.000 0.000 2.642
Cd 2.642 0.000 0.000
```

=====

Record 18
# RbMnBeAs2

An optimized crystal structure of RbMnBeAs2 (GGA-PBE, Alexandria).

DOS at the Fermi energy in states/eV/f.u.: 4.814
Calculated total energy in eV/atom: -3.80

```
5
Lattice="-3.873 -0.150 2.782 2.589 -0.570 3.574 0.236 4.729 0.584" Properties=species:S:1:pos:R:3 pbc="T T T"
Be 0.000 0.000 0.000
As 0.118 2.365 0.292
As -1.937 -0.075 1.391
Mn 1.294 -0.285 1.787
Rb -0.524 2.004 3.470
```

=====

Record 19
# Sc6TlGa5

An optimized crystal structure of Sc6TlGa5 (GGA-PBE, Alexandria).

DOS at the Fermi energy in states/eV/f.u.: 7.368
Calculated total energy in eV/atom: -5.02

```
12
Lattice="8.784 -0.685 0.000 1.693 5.644 0.000 0.846 2.822 5.040" Properties=species:S:1:pos:R:3 pbc="T T T"
Sc 6.913 0.980 1.747
Sc 3.564 3.979 1.747
Sc 2.604 1.371 0.000
Sc 7.873 3.588 0.000
Sc 7.760 3.802 3.292
Sc 4.410 6.801 3.292
Tl 0.000 0.000 0.000
Ga 5.239 2.480 3.564
Ga 0.846 2.822 1.795
Ga 5.239 2.480 0.000
Ga 1.693 5.644 3.244
Ga 6.085 5.301 1.475
```

=====

Record 20
# YIr3

An optimized crystal structure of YIr3 (GGA-PBE, Alexandria).

DOS at the Fermi energy in states/eV/f.u.: 2.503
Calculated total energy in eV/atom: -8.48

```
4
Lattice="-1.114 2.205 1.535 -0.379 -4.053 2.791 4.686 1.490 1.260" Properties=species:S:1:pos:R:3 pbc="T T T"
Ir 3.027 -0.371 5.483
Ir 1.953 1.860 1.500
Ir 3.047 -0.358 2.724
Y 0.147 0.000 2.862
```

=====

Record 21
# AcTmPdPb

An optimized crystal structure of AcTmPdPb (GGA-PBE, Alexandria).

DOS at the Fermi energy in states/eV/f.u.: 1.766
Calculated total energy in eV/atom: -4.89

```
4
Lattice="-3.488 -3.458 -2.319 1.548 -2.950 -4.289 0.740 -5.356 0.513" Properties=species:S:1:pos:R:3 pbc="T T T"
Pb -0.600 -5.882 -3.047
Ac -0.900 -8.823 -4.571
Tm -0.300 -2.941 -1.524
Pd 0.000 0.000 0.000
```